*a*
Ta3CdCo: relaxed, PBE-GGA.

Output
The total moment is 0.0 μB per cell.

a b c (Å): 4.9086 4.9086 4.9086
angles (deg): 90.00 90.00 90.00
Last column: nearest neighbours and their distance in Å.
Space group Pm-3m (No. 221)
One atom of each set of equivalent atoms:
Ta (0.0000, 0.0000, 0.5000) (multiplicity 3)  2 Cd 2.45
Cd (0.0000, 0.0000, 0.0000) (multiplicity 1)  6 Ta 2.45
Co (0.5000, 0.5000, 0.5000) (multiplicity 1)  12 Ta 3.47

*b*
Ta3CdCo: relaxed, PBE-GGA.

Output
The total moment is 0.0 μB per cell.

a b c (Å): 4.6153 4.6153 4.6153
angles (deg): 90.00 90.00 90.00
Last column: nearest neighbours and their distance in Å.
Space group Pm-3m (No. 221)
One atom of each set of equivalent atoms:
Ta (0.0000, 0.0000, 0.5000) (multiplicity 3)  2 Co 2.31
Cd (0.5000, 0.5000, 0.5000) (multiplicity 1)  12 Ta 3.26
Co (0.0000, 0.0000, 0.0000) (multiplicity 1)  6 Ta 2.31

Out of the structures above, which one is the least stable? Solution: *a*.